1.
# GaCu3Bi PBE-GGA relaxed
data_GaCu3Bi
_cell_length_a 5.0188
_cell_length_b 5.0188
_cell_length_c 5.0188
_cell_angle_alpha 90.00
_cell_angle_beta 90.00
_cell_angle_gamma 90.00
_symmetry_space_group_name_H-M 'P 1'
_symmetry_Int_Tables_number 1
loop_
_symmetry_equiv_pos_as_xyz
'x,y,z'
loop_
_atom_site_label
_atom_site_fract_x
_atom_site_fract_y
_atom_site_fract_z
Ga1 0.0000 0.0000 0.0000
Cu1 0.0000 0.5000 0.5000
Cu2 0.5000 0.0000 0.5000
Cu3 0.5000 0.5000 0.0000
Bi1 0.5000 0.5000 0.5000
# V = 25.28 Å³/atom
# N(E_F) = 2.5 states/eV/f.u.
# Relative energy among the computed polymorphs = 348 meV per atom
# Size of the total moment = 0.000 μB per atom
# Mass density = 6.17 Mg/m³

2.
# LiPm2TmTl4 PBE-GGA relaxed
data_LiPm2TmTl4
_cell_length_a 9.4287
_cell_length_b 9.4287
_cell_length_c 9.4287
_cell_angle_alpha 32.57
_cell_angle_beta 32.57
_cell_angle_gamma 32.57
_symmetry_space_group_name_H-M 'P 1'
_symmetry_Int_Tables_number 1
loop_
_symmetry_equiv_pos_as_xyz
'x,y,z'
loop_
_atom_site_label
_atom_site_fract_x
_atom_site_fract_y
_atom_site_fract_z
Li1 0.0000 0.0000 0.0000
Pm1 0.2554 0.2554 0.2554
Pm2 0.7446 0.7446 0.7446
Tm1 0.5000 0.5000 0.5000
Tl1 0.1247 0.1247 0.1247
Tl2 0.3742 0.3742 0.3742
Tl3 0.6258 0.6258 0.6258
Tl4 0.8753 0.8753 0.8753
# V = 27.00 Å³/atom
# N(E_F) = 5.0 states/eV/f.u.
# Uncorrected energy = -0.257 Ry per atom
# Size of the total moment = 0.000 μB per atom
# Mass density = 9.87 Mg/m³

3.
# Er3Ga4Cu2 PBE-GGA relaxed
data_Er3Ga4Cu2
_cell_length_a 5.6076
_cell_length_b 5.6076
_cell_length_c 8.3090
_cell_angle_alpha 110.33
_cell_angle_beta 110.33
_cell_angle_gamma 45.80
_symmetry_space_group_name_H-M 'P 1'
_symmetry_Int_Tables_number 1
loop_
_symmetry_equiv_pos_as_xyz
'x,y,z'
loop_
_atom_site_label
_atom_site_fract_x
_atom_site_fract_y
_atom_site_fract_z
Er1 0.0000 0.0000 0.0000
Er2 0.3281 0.3281 0.3464
Er3 0.6719 0.6719 0.6536
Ga1 0.0360 0.0360 0.3666
Ga2 0.2678 0.2678 0.9242
Ga3 0.7322 0.7322 0.0758
Ga4 0.9640 0.9640 0.6334
Cu1 0.4011 0.4011 0.7299
Cu2 0.5989 0.5989 0.2701
# V = 19.27 Å³/atom
# N(E_F) = 4.1 states/eV/f.u.
# Uncorrected energy = -0.320 Ry per atom
# Size of the total moment = 0.000 μB per atom
# Mass density = 8.69 Mg/m³

4.
# Na2CuSn PBE-GGA relaxed
data_Na2CuSn
_cell_length_a 10.0563
_cell_length_b 10.0563
_cell_length_c 4.8822
_cell_angle_alpha 90.00
_cell_angle_beta 90.00
_cell_angle_gamma 90.00
_symmetry_space_group_name_H-M 'P 1'
_symmetry_Int_Tables_number 1
loop_
_symmetry_equiv_pos_as_xyz
'x,y,z'
loop_
_atom_site_label
_atom_site_fract_x
_atom_site_fract_y
_atom_site_fract_z
Na1 0.1196 0.2500 0.1250
Na2 0.2500 0.6196 0.3750
Na3 0.2500 0.8804 0.8750
Na4 0.3804 0.2500 0.6250
Na5 0.6196 0.7500 0.6250
Na6 0.7500 0.1196 0.8750
Na7 0.7500 0.3804 0.3750
Na8 0.8804 0.7500 0.1250
Cu1 0.0000 0.0000 0.0000
Cu2 0.0000 0.5000 0.2500
Cu3 0.5000 0.0000 0.7500
Cu4 0.5000 0.5000 0.5000
Sn1 0.0000 0.0000 0.5000
Sn2 0.0000 0.5000 0.7500
Sn3 0.5000 0.0000 0.2500
Sn4 0.5000 0.5000 0.0000
# V = 30.86 Å³/atom
# N(E_F) = 2.1 states/eV/f.u.
# Uncorrected energy = -0.188 Ry per atom
# Size of the total moment = 0.000 μB per atom
# Mass density = 3.07 Mg/m³

5.
# Ba3HPtAu PBE-GGA relaxed
data_Ba3HPtAu
_cell_length_a 9.5734
_cell_length_b 4.5201
_cell_length_c 9.7047
_cell_angle_alpha 90.00
_cell_angle_beta 101.90
_cell_angle_gamma 90.00
_symmetry_space_group_name_H-M 'P 1'
_symmetry_Int_Tables_number 1
loop_
_symmetry_equiv_pos_as_xyz
'x,y,z'
loop_
_atom_site_label
_atom_site_fract_x
_atom_site_fract_y
_atom_site_fract_z
Ba1 0.0680 0.2500 0.3299
Ba2 0.3055 0.2500 0.9853
Ba3 0.3852 0.7500 0.6373
Ba4 0.6148 0.2500 0.3627
Ba5 0.6945 0.7500 0.0147
Ba6 0.9320 0.7500 0.6701
H1 0.4171 0.7500 0.9178
H2 0.5829 0.2500 0.0822
Pt1 0.1624 0.2500 0.6610
Pt2 0.8376 0.7500 0.3390
Au1 0.3304 0.7500 0.2690
Au2 0.6696 0.2500 0.7310
# V = 34.24 Å³/atom
# N(E_F) = 2.2 states/eV/f.u.
# Uncorrected energy = -0.272 Ry per atom
# Size of the total moment = 0.000 μB per atom
# Mass density = 6.51 Mg/m³

6.
# KLaMo3 PBE-GGA relaxed
data_KLaMo3
_cell_length_a 4.9800
_cell_length_b 4.9800
_cell_length_c 4.9800
_cell_angle_alpha 90.00
_cell_angle_beta 90.00
_cell_angle_gamma 90.00
_symmetry_space_group_name_H-M 'P 1'
_symmetry_Int_Tables_number 1
loop_
_symmetry_equiv_pos_as_xyz
'x,y,z'
loop_
_atom_site_label
_atom_site_fract_x
_atom_site_fract_y
_atom_site_fract_z
K1 0.0000 0.0000 0.0000
La1 0.5000 0.5000 0.5000
Mo1 0.0000 0.5000 0.5000
Mo2 0.5000 0.0000 0.5000
Mo3 0.5000 0.5000 0.0000
# V = 24.70 Å³/atom
# N(E_F) = 11.3 states/eV/f.u.
# Relative energy among the computed polymorphs = 0 meV per atom
# Size of the total moment = 0.000 μB per atom
# Mass density = 6.26 Mg/m³

Copy entry 6 word for word.
# KLaMo3 PBE-GGA relaxed
data_KLaMo3
_cell_length_a 4.9800
_cell_length_b 4.9800
_cell_length_c 4.9800
_cell_angle_alpha 90.00
_cell_angle_beta 90.00
_cell_angle_gamma 90.00
_symmetry_space_group_name_H-M 'P 1'
_symmetry_Int_Tables_number 1
loop_
_symmetry_equiv_pos_as_xyz
'x,y,z'
loop_
_atom_site_label
_atom_site_fract_x
_atom_site_fract_y
_atom_site_fract_z
K1 0.0000 0.0000 0.0000
La1 0.5000 0.5000 0.5000
Mo1 0.0000 0.5000 0.5000
Mo2 0.5000 0.0000 0.5000
Mo3 0.5000 0.5000 0.0000
# V = 24.70 Å³/atom
# N(E_F) = 11.3 states/eV/f.u.
# Relative energy among the computed polymorphs = 0 meV per atom
# Size of the total moment = 0.000 μB per atom
# Mass density = 6.26 Mg/m³